{
  "formula": "Y2Er2Tm3Ni2Te2",
  "functional": "GGA-PBE",
  "state": "optimized geometry",
  "polymorph_energy_ev_per_fu": 0.02,
  "vol_a3_per_cell": 283.98,
  "spacegroup": "Imm2 (44)",
  "cell": [[-1.9194, 7.7663, 4.7627], [1.9194, -7.7663, 4.7627], [1.9194, 7.7663, -4.7627]],
  "species": ["Y", "Y", "Ni", "Ni", "Tm", "Tm", "Tm", "Te", "Te", "Er", "Er"],
  "frac_coords": [[0.8921, 0.7457, 0.1464], [0.5994, 0.7457, 0.8536], [0.1461, 0.4065, 0.7396], [0.6670, 0.4065, 0.2604], [0.9774, 0.4774, 0.5000], [0.2614, 0.8943, 0.3670], [0.5273, 0.8943, 0.6330], [0.2422, 0.2422, 0.0000], [0.6392, 0.1392, 0.5000], [0.9125, 0.0971, 0.8154], [0.2817, 0.0971, 0.1846]]
}



{
  "formula": "Y3Er2Tm2Ni2Te2",
  "functional": "GGA-PBE",
  "state": "optimized geometry",
  "polymorph_energy_ev_per_fu": 0.03,
  "vol_a3_per_cell": 285.29,
  "spacegroup": "Imm2 (44)",
  "cell": [[8.9671, -0.9730, -2.3520], [-2.1612, 1.3254, 8.9700], [1.2418, -4.8957, -7.8344]],
  "species": ["Y", "Y", "Y", "Ni", "Ni", "Te", "Te", "Tm", "Tm", "Er", "Er"],
  "frac_coords": [[0.9781, 0.4781, 0.5000], [0.8914, 0.7444, 0.1470], [0.5974, 0.7444, 0.8530], [0.6672, 0.4073, 0.2599], [0.1474, 0.4073, 0.7401], [0.2439, 0.2439, 0.0000], [0.6377, 0.1377, 0.5000], [0.2603, 0.8937, 0.3666], [0.5271, 0.8937, 0.6334], [0.9126, 0.0978, 0.8148], [0.2830, 0.0978, 0.1852]]
}



{
  "formula": "Y3Er2Tm2Ni2Te2",
  "functional": "GGA-PBE",
  "state": "optimized geometry",
  "polymorph_energy_ev_per_fu": 0.15,
  "vol_a3_per_cell": 284.41,
  "spacegroup": "Imm2 (44)",
  "cell": [[-1.9207, 7.7547, 4.7738], [1.9207, -7.7547, 4.7738], [1.9207, 7.7547, -4.7738]],
  "species": ["Y", "Y", "Y", "Ni", "Ni", "Er", "Er", "Te", "Te", "Tm", "Tm"],
  "frac_coords": [[0.9765, 0.4765, 0.5000], [0.9132, 0.0982, 0.8149], [0.2833, 0.0982, 0.1851], [0.6637, 0.4030, 0.2608], [0.1422, 0.4030, 0.7392], [0.5995, 0.7469, 0.8526], [0.8943, 0.7469, 0.1474], [0.6397, 0.1397, 0.5000], [0.2435, 0.2435, 0.0000], [0.2620, 0.8951, 0.3669], [0.5282, 0.8951, 0.6331]]
}



{
  "formula": "Y2ErTm4Ni2Te2",
  "functional": "GGA-PBE",
  "state": "optimized geometry",
  "polymorph_energy_ev_per_fu": 0.03,
  "vol_a3_per_cell": 282.12,
  "spacegroup": "Imm2 (44)",
  "cell": [[-1.9138, 7.7354, 4.7642], [1.9138, -7.7354, 4.7642], [1.9138, 7.7354, -4.7642]],
  "species": ["Tm", "Tm", "Tm", "Tm", "Ni", "Ni", "Te", "Te", "Er", "Y", "Y"],
  "frac_coords": [[0.4108, 0.0962, 0.3146], [0.7816, 0.0962, 0.6854], [0.1009, 0.7482, 0.3527], [0.3955, 0.7482, 0.6473], [0.1692, 0.4048, 0.7644], [0.6404, 0.4048, 0.2356], [0.1431, 0.1431, 0.0000], [0.7386, 0.2386, 0.5000], [0.4760, 0.4760, 0.0000], [0.7634, 0.8950, 0.8684], [0.0266, 0.8950, 0.1316]]
}



{
  "formula": "YEr2Tm4Ni2Te2",
  "functional": "GGA-PBE",
  "state": "optimized geometry",
  "polymorph_energy_ev_per_fu": 0.01,
  "vol_a3_per_cell": 281.85,
  "spacegroup": "Imm2 (44)",
  "cell": [[-1.9159, 7.7429, 4.7498], [1.9159, -7.7429, 4.7498], [1.9159, 7.7429, -4.7498]],
  "species": ["Tm", "Tm", "Tm", "Tm", "Te", "Te", "Ni", "Ni", "Y", "Er", "Er"],
  "frac_coords": [[0.4119, 0.0974, 0.3145], [0.7828, 0.0974, 0.6855], [0.3941, 0.7464, 0.6477], [0.0988, 0.7464, 0.3523], [0.7420, 0.2420, 0.5000], [0.1406, 0.1406, 0.0000], [0.1670, 0.4049, 0.7621], [0.6428, 0.4049, 0.2379], [0.4767, 0.4767, 0.0000], [0.0276, 0.8947, 0.1329], [0.7619, 0.8947, 0.8671]]
}



{
  "formula": "Y2Er5Ni2Te2",
  "functional": "GGA-PBE",
  "state": "optimized geometry",
  "polymorph_energy_ev_per_fu": 0.00,
  "vol_a3_per_cell": 282.57,
  "spacegroup": "Imm2 (44)",
  "cell": [[3.0919, -7.6451, 4.2939], [-9.1659, 1.5360, -0.2679], [8.2388, -2.8944, -3.1920]],
  "species": ["Te", "Te", "Er", "Er", "Er", "Er", "Er", "Ni", "Ni", "Y", "Y"],
  "frac_coords": [[0.7416, 0.2416, 0.5000], [0.1404, 0.1404, 0.0000], [0.7815, 0.0968, 0.6846], [0.4775, 0.4775, 0.0000], [0.7623, 0.8947, 0.8676], [0.0271, 0.8947, 0.1324], [0.4122, 0.0968, 0.3154], [0.6452, 0.4062, 0.2390], [0.1671, 0.4062, 0.7610], [0.3921, 0.7457, 0.6465], [0.0992, 0.7457, 0.3535]]
}



{
  "formula": "Y3Er4Ni2Te2",
  "functional": "GGA-PBE",
  "state": "optimized geometry",
  "polymorph_energy_ev_per_fu": 0.00,
  "vol_a3_per_cell": 284.86,
  "spacegroup": "Imm2 (44)",
  "cell": [[4.5027, -8.1497, -0.4451], [4.8370, 7.6369, 2.2740], [-5.5572, -7.3343, 1.4887]],
  "species": ["Er", "Er", "Er", "Er", "Y", "Y", "Y", "Te", "Te", "Ni", "Ni"],
  "frac_coords": [[0.5271, 0.8949, 0.6322], [0.2817, 0.0969, 0.1848], [0.9121, 0.0969, 0.8152], [0.2627, 0.8949, 0.3678], [0.5987, 0.7453, 0.8534], [0.9777, 0.4777, 0.5000], [0.8920, 0.7453, 0.1466], [0.2420, 0.2420, 0.0000], [0.6405, 0.1405, 0.5000], [0.6670, 0.4059, 0.2611], [0.1449, 0.4059, 0.7389]]
}



{
  "formula": "Y4Er3Ni2Te2",
  "functional": "GGA-PBE",
  "state": "optimized geometry",
  "polymorph_energy_ev_per_fu": 0.10,
  "vol_a3_per_cell": 288.13,
  "spacegroup": "Imm2 (44)",
  "cell": [[-1.9224, 7.7982, 4.8048], [1.9224, -7.7982, 4.8048], [1.9224, 7.7982, -4.8048]],
  "species": ["Ni", "Ni", "Y", "Y", "Y", "Y", "Te", "Te", "Er", "Er", "Er"],
  "frac_coords": [[0.6391, 0.4023, 0.2368], [0.1656, 0.4023, 0.7632], [0.7645, 0.8956, 0.8689], [0.0268, 0.8956, 0.1311], [0.7818, 0.0971, 0.6847], [0.4125, 0.0971, 0.3153], [0.1428, 0.1428, 0.0000], [0.7398, 0.2398, 0.5000], [0.1022, 0.7486, 0.3536], [0.3950, 0.7486, 0.6464], [0.4761, 0.4761, 0.0000]]
}



| no. | total magnetic moment (μB/f.u.) |
| --- | --- |
| 1 | 0.01 |
| 2 | 0.01 |
| 3 | 0.01 |
| 4 | 0.01 |
| 5 | 0.01 |
| 6 | 0.01 |
| 7 | 0.01 |
| 8 | 0.02 |